## La6Pm2Tm5 (GGA-PBE)

Data for an optimized crystal structure of La6Pm2Tm5.

DFT formation energy, meV per atom: 114
Space group: Pbam, No. 55

Unit cell a=3.6392 b=11.9736 c=20.6100 alpha=90.00 beta=90.00 gamma=90.00
Last column: nearest neighbours and their distance in Å.
Fractional coordinates of all 26 atoms:
La1 0.0000 0.0727 0.3624  6 Tm 3.42-3.58, 1 Pm 3.53, 4 La 3.59-3.64
La2 0.0000 0.9273 0.6376  6 Tm 3.42-3.58, 1 Pm 3.53, 4 La 3.59-3.64
La3 0.0000 0.5727 0.1376  6 Tm 3.42-3.58, 1 Pm 3.53, 4 La 3.59-3.64
La4 0.0000 0.4273 0.8624  6 Tm 3.42-3.58, 1 Pm 3.53, 4 La 3.59-3.64
La5 0.5000 0.3159 0.1233  2 Tm 3.34-3.36, 4 La 3.59-3.64
La6 0.5000 0.6841 0.8767  2 Tm 3.34-3.36, 4 La 3.59-3.64
La7 0.5000 0.8159 0.3767  2 Tm 3.34-3.36, 4 La 3.59-3.64
La8 0.5000 0.1841 0.6233  2 Tm 3.34-3.36, 4 La 3.59-3.64
La9 0.0000 0.5426 0.4215  3 La 3.39-3.64, 4 Tm 3.53-3.57, 1 Pm 3.76
La10 0.0000 0.4574 0.5785  3 La 3.39-3.64, 4 Tm 3.53-3.57, 1 Pm 3.76
La11 0.0000 0.0426 0.0785  3 La 3.39-3.64, 4 Tm 3.53-3.57, 1 Pm 3.76
La12 0.0000 0.9574 0.9215  3 La 3.39-3.64, 4 Tm 3.53-3.57, 1 Pm 3.76
Pm1 0.0000 0.3351 0.2847  4 La 3.53-3.80, 6 Tm 3.61-3.78, 2 Pm 3.64
Pm2 0.0000 0.6649 0.7153  4 La 3.53-3.80, 6 Tm 3.61-3.78, 2 Pm 3.64
Pm3 0.0000 0.8351 0.2153  4 La 3.53-3.80, 6 Tm 3.61-3.78, 2 Pm 3.64
Pm4 0.0000 0.1649 0.7847  4 La 3.53-3.80, 6 Tm 3.61-3.78, 2 Pm 3.64
Tm1 0.5000 0.2888 0.4435  7 La 3.57-3.91, 3 Tm 3.64-3.65, 2 Pm 3.78
Tm2 0.5000 0.7112 0.5565  7 La 3.57-3.91, 3 Tm 3.64-3.65, 2 Pm 3.78
Tm3 0.5000 0.7888 0.0565  7 La 3.57-3.91, 3 Tm 3.64-3.65, 2 Pm 3.78
Tm4 0.5000 0.2112 0.9435  7 La 3.57-3.91, 3 Tm 3.64-3.65, 2 Pm 3.78
Tm5 0.5000 0.5948 0.2777  5 La 3.34-3.53, 4 Pm 3.61-3.64, 2 Tm 3.64
Tm6 0.5000 0.4052 0.7223  5 La 3.34-3.53, 4 Pm 3.61-3.64, 2 Tm 3.64
Tm7 0.5000 0.0948 0.2223  5 La 3.34-3.53, 4 Pm 3.61-3.64, 2 Tm 3.64
Tm8 0.5000 0.9052 0.7777  5 La 3.34-3.53, 4 Pm 3.61-3.64, 2 Tm 3.64
Tm9 0.5000 0.5000 0.0000  6 La 3.36-3.48, 4 Tm 3.64-3.65
Tm10 0.5000 0.0000 0.5000  6 La 3.36-3.48, 4 Tm 3.64-3.65


## ZrSn2Mo (GGA-PBE)

Data for an optimized crystal structure of ZrSn2Mo.

DFT formation energy, meV per atom: 21
Space group: Fm-3m, No. 225

Unit cell a=4.8527 b=4.8527 c=4.8527 alpha=60.00 beta=60.00 gamma=60.00
Last column: nearest neighbours and their distance in Å.
Fractional coordinates of all 4 atoms:
Mo1 0.5000 0.5000 0.5000  8 Sn 2.97
Sn1 0.2500 0.2500 0.2500  4 Zr 2.97, 4 Mo 2.97
Sn2 0.7500 0.7500 0.7500  4 Zr 2.97, 4 Mo 2.97
Zr1 0.0000 0.0000 0.0000  8 Sn 2.97


## La3Dy5Ho2 (GGA-PBE)

Data for an optimized crystal structure of La3Dy5Ho2.

DFT formation energy, meV per atom: 190
Space group: C2/c, No. 15

Unit cell a=9.4037 b=9.3753 c=11.2128 alpha=124.22 beta=124.28 gamma=69.86
Last column: nearest neighbours and their distance in Å.
Fractional coordinates of all 20 atoms:
La1 0.2349 0.9849 0.9697  4 Ho 3.33-3.64, 3 Dy 3.41-3.67, 2 La 3.54
La2 0.7651 0.0151 0.0303  4 Ho 3.33-3.64, 3 Dy 3.41-3.67, 2 La 3.54
La3 0.7314 0.4712 0.2472  1 Ho 3.17, 5 Dy 3.31-3.54, 1 La 3.54
La4 0.2686 0.5288 0.7528  1 Ho 3.17, 5 Dy 3.31-3.54, 1 La 3.54
La5 0.0158 0.7760 0.2472  1 Ho 3.17, 5 Dy 3.31-3.54, 1 La 3.54
La6 0.9842 0.2240 0.7528  1 Ho 3.17, 5 Dy 3.31-3.54, 1 La 3.54
Dy1 0.2746 0.5246 0.0492  1 Dy 3.18, 4 La 3.31-3.56
Dy2 0.7254 0.4754 0.9508  1 Dy 3.18, 4 La 3.31-3.56
Dy3 0.0257 0.7757 0.5513  5 La 3.36-3.48, 2 Ho 3.42, 2 Dy 3.52
Dy4 0.5303 0.2803 0.5605  3 Dy 3.18-3.53, 4 Ho 3.29-3.45, 2 La 3.54
Dy5 0.9743 0.2243 0.4487  5 La 3.36-3.48, 2 Ho 3.42, 2 Dy 3.52
Dy6 0.4697 0.7197 0.4395  3 Dy 3.18-3.53, 4 Ho 3.29-3.45, 2 La 3.54
Dy7 0.8463 0.6004 0.7224  2 Ho 3.42-3.59, 3 La 3.46-3.67, 3 Dy 3.52-3.81
Dy8 0.1537 0.3996 0.2776  2 Ho 3.42-3.59, 3 La 3.46-3.67, 3 Dy 3.52-3.81
Dy9 0.3762 0.1220 0.7224  2 Ho 3.42-3.59, 3 La 3.46-3.67, 3 Dy 3.52-3.81
Dy10 0.6238 0.8780 0.2776  2 Ho 3.42-3.59, 3 La 3.46-3.67, 3 Dy 3.52-3.81
Ho1 0.7675 0.0090 0.7318  2 La 3.17-3.33, 4 Dy 3.29-3.45
Ho2 0.2325 0.9910 0.2682  2 La 3.17-3.33, 4 Dy 3.29-3.45
Ho3 0.4643 0.7228 0.7318  2 La 3.17-3.33, 4 Dy 3.29-3.45
Ho4 0.5357 0.2772 0.2682  2 La 3.17-3.33, 4 Dy 3.29-3.45


## MnCo2Cu (GGA-PBE)

Data for an optimized crystal structure of MnCo2Cu.

DFT formation energy, meV per atom: 119
Space group: P4mm, No. 99

Unit cell a=2.7458 b=2.7458 c=6.3750 alpha=90.00 beta=90.00 gamma=90.00
Last column: nearest neighbours and their distance in Å.
Fractional coordinates of all 4 atoms:
Co1 0.0000 0.0000 0.0161  4 Co 2.39, 4 Mn 2.54
Co2 0.5000 0.5000 0.2356  4 Co 2.39, 4 Cu 2.53
Cu1 0.0000 0.0000 0.4889  4 Co 2.53, 4 Mn 2.60, 4 Cu 2.75
Mn1 0.5000 0.5000 0.7593  4 Co 2.54, 4 Cu 2.60, 4 Mn 2.75


## Tm2ThOs (GGA-PBE)

Data for an optimized crystal structure of Tm2ThOs.

DFT formation energy, meV per atom: 235
Space group: R-3m, No. 166

Unit cell a=3.3348 b=3.3348 c=11.1143 alpha=81.37 beta=81.37 gamma=60.00
Last column: nearest neighbours and their distance in Å.
Fractional coordinates of all 4 atoms:
Tm1 0.1042 0.1042 0.6873  3 Os 2.81
Tm2 0.8958 0.8958 0.3127  3 Os 2.81
Os1 0.5000 0.5000 0.5000  6 Tm 2.81
Th1 0.0000 0.0000 0.0000  6 Th 3.33, 2 Tm 3.42


## Dy5Tm8Pu (GGA-PBE)

Data for an optimized crystal structure of Dy5Tm8Pu.

DFT formation energy, meV per atom: 303
Space group: I-4, No. 82

Unit cell a=8.2922 b=8.2922 c=8.2922 alpha=107.52 beta=113.46 gamma=107.52
Last column: nearest neighbours and their distance in Å.
Fractional coordinates of all 14 atoms:
Dy1 0.9529 0.2435 0.0388  5 Tm 3.19-3.55, 2 Dy 3.41
Dy2 0.9612 0.9140 0.2046  5 Tm 3.19-3.55, 2 Dy 3.41
Dy3 0.7954 0.7565 0.7094  5 Tm 3.19-3.55, 2 Dy 3.41
Dy4 0.5000 0.0000 0.5000  4 Tm 3.38
Dy5 0.2906 0.0860 0.0471  5 Tm 3.19-3.55, 2 Dy 3.41
Tm1 0.0619 0.6086 0.9685  1 Pu 2.94, 3 Dy 3.19-3.25
Tm2 0.0315 0.0935 0.6402  1 Pu 2.94, 3 Dy 3.19-3.25
Tm3 0.7797 0.3045 0.4076  3 Tm 3.24-3.50, 1 Pu 3.24, 2 Dy 3.37-3.38
Tm4 0.5924 0.3721 0.8969  3 Tm 3.24-3.50, 1 Pu 3.24, 2 Dy 3.37-3.38
Tm5 0.5248 0.6279 0.2203  3 Tm 3.24-3.50, 1 Pu 3.24, 2 Dy 3.37-3.38
Tm6 0.5467 0.9065 0.9381  1 Pu 2.94, 3 Dy 3.19-3.25
Tm7 0.3598 0.3914 0.4533  1 Pu 2.94, 3 Dy 3.19-3.25
Tm8 0.1031 0.6955 0.4752  3 Tm 3.24-3.50, 1 Pu 3.24, 2 Dy 3.37-3.38
Pu1 0.2500 0.5000 0.7500  8 Tm 2.94-3.24


## Cs2Cd2Ga (GGA-PBE)

Data for an optimized crystal structure of Cs2Cd2Ga.

DFT formation energy, meV per atom: 145
Space group: I4/mmm, No. 139

Unit cell a=4.3029 b=4.3029 c=12.0447 alpha=79.71 beta=79.71 gamma=90.00
Last column: nearest neighbours and their distance in Å.
Fractional coordinates of all 5 atoms:
Cs1 0.3969 0.3969 0.2062  4 Ga 3.88, 4 Cd 4.04, 4 Cs 4.30
Cs2 0.6031 0.6031 0.7938  4 Ga 3.88, 4 Cd 4.04, 4 Cs 4.30
Ga1 0.0000 0.0000 0.0000  8 Cs 3.88, 4 Ga 4.30
Cd1 0.7500 0.2500 0.5000  4 Cd 3.04
Cd2 0.2500 0.7500 0.5000  4 Cd 3.04


## AcPr2Pd9 (GGA-PBE)

Data for an optimized crystal structure of AcPr2Pd9.

DFT formation energy, meV per atom: -710
Space group: R-3m, No. 166

Unit cell a=5.4942 b=5.4942 c=9.6219 alpha=73.41 beta=73.41 gamma=60.00
Last column: nearest neighbours and their distance in Å.
Fractional coordinates of all 12 atoms:
Ac1 0.0000 0.0000 0.0000  6 Pd 3.17
Pr1 0.8606 0.8606 0.4182  12 Pd 3.12-3.36
Pr2 0.1394 0.1394 0.5818  12 Pd 3.12-3.36
Pd1 0.6669 0.6669 0.9992  6 Pd 2.79-2.82
Pd2 0.3331 0.3331 0.0008  6 Pd 2.79-2.82
Pd3 0.5000 0.5000 0.5000  6 Pd 2.74
Pd4 0.4137 0.4137 0.2550  7 Pd 2.73-2.82
Pd5 0.9176 0.4137 0.2550  7 Pd 2.73-2.82
Pd6 0.4137 0.9176 0.2550  7 Pd 2.73-2.82
Pd7 0.5863 0.5863 0.7450  7 Pd 2.73-2.82
Pd8 0.5863 0.0824 0.7450  7 Pd 2.73-2.82
Pd9 0.0824 0.5863 0.7450  7 Pd 2.73-2.82